Entry 1:
Here is an optimized crystal structure of ScSn2Au from the Alexandria database. Energies are from GGA-PBEsol.

The structure in POSCAR format:
```
ScSn2Au
1.0
-1.744 -1.889 -4.232
3.140 -1.470 -3.535
0.553 -4.824 -0.971
Sc Sn Au
1 2 1
Direct
0.000 0.000 0.000
0.750 0.750 0.750
0.250 0.250 0.250
0.500 0.500 0.500
```

Properties
M_tot: 0.001 μB per cell
Calculated formation energy: -0.20 eV per atom

***

Entry 2:
Here is an optimized crystal structure of CaCr2Rh from the Alexandria database. Energies are from GGA-PBEsol.

The structure in POSCAR format:
```
CaCr2Rh
1.0
2.956 0.000 0.000
0.000 4.773 0.000
-1.478 -2.387 4.334
Cr Ca Rh
2 1 1
Direct
0.042 0.042 0.084
0.724 0.224 0.447
0.257 0.757 0.514
0.478 0.478 0.955
```

Properties
M_tot: 0.048 μB per cell
E above lowest polymorph: 0.000 eV/atom
Calculated formation energy: 0.49 eV per atom

***

Entry 3:
Here is an optimized crystal structure of BaIn2Br from the Alexandria database. Energies are from GGA-PBEsol.

The structure in POSCAR format:
```
BaIn2Br
1.0
-3.523 0.719 -3.929
4.536 -3.186 -1.041
-3.846 -2.028 3.077
Br In Ba
1 2 1
Direct
0.250 0.500 0.750
0.000 0.000 0.000
0.750 0.500 0.250
0.500 0.000 0.500
```

Properties
M_tot: 0.000 μB per cell
E_form (uncorrected): -0.63 eV per atom
E above lowest polymorph: 0.075 eV/atom

***

Entry 4:
Here is an optimized crystal structure of NaCrN2O from the Alexandria database. Energies are from GGA-PBEsol.

The structure in POSCAR format:
```
NaCrN2O
1.0
-2.710 -2.449 0.216
1.678 -1.607 2.826
-1.847 2.254 2.378
O N Na Cr
1 2 1 1
Direct
0.000 0.000 0.500
0.000 0.500 0.000
0.500 0.000 0.000
0.500 0.500 0.500
0.000 0.000 0.000
```

Properties
M_tot: 0.002 μB per cell
E_form (uncorrected): -0.33 eV per atom

***

Entry 5:
Here is an optimized crystal structure of Y2Mn from the Alexandria database. Energies are from GGA-PBEsol.

The structure in POSCAR format:
```
Y2Mn
1.0
3.453 0.000 0.000
0.000 5.314 0.000
-1.726 0.000 8.065
Y Mn
4 2
Direct
0.864 0.250 0.727
0.565 0.250 0.130
0.435 0.750 0.870
0.136 0.750 0.273
0.781 0.750 0.561
0.219 0.250 0.439
```

Properties
M_tot: 6.538 μB per cell
Calculated formation energy: 0.40 eV per atom

***

Entry 6:
Here is an optimized crystal structure of Ba3GeI2 from the Alexandria database. Energies are from GGA-PBEsol.

The structure in POSCAR format:
```
Ba3GeI2
1.0
8.568 -0.008 0.000
-2.764 8.109 0.000
-2.902 -4.051 14.651
I Ba Ge
8 12 4
Direct
0.578 0.578 0.155
0.672 0.172 0.345
0.422 0.422 0.845
0.828 0.328 0.655
0.996 0.496 0.993
0.746 0.746 0.493
0.254 0.254 0.507
0.504 0.004 0.007
0.309 0.843 0.181
0.093 0.059 0.681
0.038 0.538 0.500
0.588 0.622 0.681
0.788 0.788 0.000
0.462 0.962 0.500
0.872 0.338 0.181
0.941 0.907 0.319
0.662 0.128 0.819
0.378 0.412 0.319
0.212 0.212 0.000
0.157 0.691 0.819
0.084 0.084 0.168
0.166 0.666 0.332
0.916 0.916 0.832
0.334 0.834 0.668
```

Properties
M_tot: 0.000 μB per cell
E_form (uncorrected): -1.20 eV per atom

***

Entry 7:
Here is an optimized crystal structure of K2CrAs from the Alexandria database. Energies are from GGA-PBEsol.

The structure in POSCAR format:
```
K2CrAs
1.0
5.188 0.000 0.000
2.594 4.493 0.000
2.594 1.498 4.236
K As Cr
2 1 1
Direct
0.750 0.750 0.750
0.000 0.000 0.000
0.500 0.500 0.500
0.250 0.250 0.250
```

Properties
M_tot: 4.998 μB per cell
Calculated formation energy: 0.35 eV per atom

***

Entry 8:
Here is an optimized crystal structure of BeSb4Te from the Alexandria database. Energies are from GGA-PBEsol.

The structure in POSCAR format:
```
BeSb4Te
1.0
-2.796 -4.976 2.173
0.216 -5.238 -3.133
3.304 -4.684 2.106
Sb Te Be
4 1 1
Direct
0.376 0.873 0.376
0.873 0.376 0.376
0.376 0.376 0.376
0.376 0.376 0.873
0.750 0.750 0.750
0.000 0.000 0.000
```

Properties
M_tot: 0.000 μB per cell
E_form (uncorrected): 0.69 eV per atom

***

Number 1: total energy -4.9625 eV/atom. Number 2: total energy -7.2003 eV/atom. Number 3: total energy -3.1223 eV/atom. Number 4: total energy -7.1224 eV/atom. Number 5: total energy -7.4044 eV/atom. Number 6: total energy -3.6876 eV/atom. Number 7: total energy -4.0513 eV/atom. Number 8: total energy -3.5999 eV/atom.